CaLa6Y8: optimized geometry, PBE-GGA.

Formation enthalpy at 0 K = 3.3 eV/f.u.
Crystal system = trigonal
Calculated volume = 552 Å³/cell

```
data_CaLa6Y8
_chemical_formula_sum 'Ca1 La6 Y8'
_symmetry_space_group_name_H-M 'P -3'
_symmetry_Int_Tables_number 147
_symmetry_space_group_name_Hall '-P 3'
_cell_length_a 10.0699
_cell_length_b 10.0699
_cell_length_c 6.2849
_cell_angle_alpha 90.00
_cell_angle_beta 90.00
_cell_angle_gamma 120.00
loop_
_atom_site_label
_atom_site_fract_x
_atom_site_fract_y
_atom_site_fract_z
Ca1 0.0000 0.0000 0.0000
La1 0.1286 0.6825 0.0554
Y1 0.0228 0.3399 0.4361
Y2 0.3333 0.6667 0.5796
```